(1)
Below is a relaxed structure of Ti4CuAg, with properties calculated at the PBEsol level.

Unit cell a=2.8967 b=2.8967 c=11.2187 alpha=90.00 beta=90.00 gamma=90.00
Closest atoms and distances in Å follow each position.
Element x y z (fractional)
1 Cu 0.5000 0.5000 0.5000  8 Ti 2.67, 4 Cu 2.90
2 Ag 0.0000 0.0000 0.0000  8 Ti 2.89, 4 Ag 2.90
3 Ti 0.5000 0.5000 0.1811  8 Ti 2.77-2.90, 4 Ag 2.89
4 Ti 0.0000 0.0000 0.6526  4 Cu 2.67, 8 Ti 2.77-2.90
5 Ti 0.0000 0.0000 0.3474  4 Cu 2.67, 8 Ti 2.77-2.90
6 Ti 0.5000 0.5000 0.8189  8 Ti 2.77-2.90, 4 Ag 2.89

Calculated values
Electronic total energy   -6.915 eV/atom
E_form   -53 kJ/mol of formula units



(2)
Below is a relaxed structure of Ba2HgRh, with properties calculated at the PBEsol level.

Unit cell a=4.5912 b=4.6164 c=6.3884 alpha=90.00 beta=111.06 gamma=90.00
Closest atoms and distances in Å follow each position.
Element x y z (fractional)
1 Rh 0.6838 0.5000 0.3676  2 Hg 2.78
2 Hg 0.8142 0.0000 0.6284  2 Rh 2.78
3 Ba 0.1091 0.0000 0.2183  3 Hg 3.35-3.52, 4 Rh 3.37
4 Ba 0.3915 0.5000 0.7829  3 Rh 3.38-3.49, 4 Hg 3.38

Calculated values
Electronic total energy   -3.523 eV/atom
E_form   -105 kJ/mol of formula units



Magnetization, record by record: 0.000 0.000 μB per formula unit